The following is a GGA-PBEsol calculation of an optimized crystal structure of Co2RhW, from Alexandria via LeMat-Bulk.

The magnetic moment comes out at 3.20 μB/cell. As for the formation energy: -0.09 eV per atom. The uncorrected energy comes out at -9.442 eV per atom. The polymorph energy (0 for the lowest one) comes out at 26 meV per atom. As for the density of states at the Fermi level: 3.47 states/eV/f.u.

The structure belongs to space group I-4m2 (No. 119); the cell edges are 3.6498, 3.6498 and 7.3670 Å and the angles 90.00°, 90.00° and 90.00°. Symmetry generates all atoms from Co at (0.0000, 0.0000, 0.0000), Co at (0.0000, 0.5000, 0.2500), Rh at (0.0000, 0.0000, 0.5000) and W at (0.0000, 0.5000, 0.7500).